[1]
First-principles (GGA-PBE) data for an optimized crystal structure of Ac3La12Ce, as listed in the Alexandria database.

Summary:
- ΔH_f (0 K): 0.37 eV per formula unit

Lattice parameters (Å, degrees): 5.309 5.309 21.303 90.00 90.00 90.00
Space group P4/mmm (No. 123)
Symmetry-distinct sites (fractional):
Ac  0.000  0.000  0.000
Ac  0.000  0.000  0.253
La  0.000  0.500  0.127
La  0.000  0.500  0.384
La  0.500  0.500  0.000
La  0.500  0.500  0.254
La  0.500  0.500  0.500
Ce  0.000  0.000  0.500


[2]
First-principles (GGA-PBE) data for an optimized crystal structure of PrPuOs4, as listed in the Alexandria database.

Summary:
- ΔH_f (0 K): -0.36 eV per formula unit

Lattice parameters (Å, degrees): 7.643 7.643 7.643 90.00 90.00 90.00
Space group F-43m (No. 216)
Symmetry-distinct sites (fractional):
Pr  0.000  0.000  0.000
Pu  0.250  0.250  0.750
Os  0.125  0.125  0.375


[3]
First-principles (GGA-PBE) data for an optimized crystal structure of I2Br, as listed in the Alexandria database.

Summary:
- Formation energy (no corrections): 0.001 eV per atom

Lattice parameters (Å, degrees): 6.409 6.754 8.350 66.64 77.92 87.35
Space group P1 (No. 1)
Symmetry-distinct sites (fractional):
I  0.000  0.000  0.000
I  0.132  0.523  0.137
I  0.484  0.894  0.511
I  0.729  0.935  0.733
Br  0.342  0.601  0.344
Br  0.894  0.412  0.899


- Number 3 is which compound?
  I2Br